No. 1
Pt2PbAuBr | PBE | relaxed

a b c (Å): 5.175 5.312 5.175
angles (deg): 90.00 90.00 90.00
Atoms (fractional coordinates):
1 Pt 0.500 0.000 0.000
2 Pt 0.000 0.000 0.500
3 Pb 0.000 0.000 0.000
4 Au 0.000 0.500 0.000
5 Br 0.500 0.500 0.500

Values from the calculation:
V: 142.28 Å³/f.u.
raw total energy: -3.052 eV per atom
E_form (uncorrected): 1.10 eV per atom



No. 2
Pt2Pb6AuBr3 | PBE | relaxed

a b c (Å): 7.018 7.018 8.468
angles (deg): 97.95 97.95 120.11
Atoms (fractional coordinates):
1 Pb 0.279 0.279 0.791
2 Pb 0.420 0.070 0.210
3 Pb 0.721 0.721 0.209
4 Pb 0.930 0.580 0.790
5 Pb 0.070 0.420 0.210
6 Pb 0.580 0.930 0.790
7 Br 0.500 0.500 0.500
8 Br 0.169 0.831 0.500
9 Br 0.831 0.169 0.500
10 Pt 0.334 0.666 0.000
11 Pt 0.666 0.334 0.000
12 Au 0.000 0.000 0.000

Values from the calculation:
V: 346.64 Å³/f.u.
raw total energy: -3.919 eV per atom
E_form (uncorrected): -0.37 eV per atom



No. 3
Rb2PbAuBr6 | PBE | relaxed

a b c (Å): 7.976 8.179 10.963
angles (deg): 90.00 89.48 90.00
Atoms (fractional coordinates):
1 Br 0.207 0.215 0.038
2 Br 0.575 0.011 0.266
3 Br 0.784 0.792 0.535
4 Br 0.216 0.208 0.465
5 Br 0.716 0.292 0.965
6 Br 0.793 0.785 0.962
7 Br 0.707 0.285 0.538
8 Br 0.284 0.708 0.035
9 Br 0.075 0.489 0.766
10 Br 0.925 0.511 0.234
11 Br 0.425 0.989 0.734
12 Br 0.293 0.715 0.462
13 Pb 0.500 0.000 0.000
14 Pb 0.000 0.500 0.500
15 Au 0.500 0.000 0.500
16 Au 0.000 0.500 0.000
17 Rb 0.017 0.942 0.250
18 Rb 0.517 0.558 0.750
19 Rb 0.983 0.058 0.750
20 Rb 0.483 0.442 0.250

Values from the calculation:
V: 357.57 Å³/f.u.
raw total energy: -2.884 eV per atom
E_form (uncorrected): -0.99 eV per atom



No. 4
Rb2PbAu2Br6 | PBE | relaxed

a b c (Å): 8.167 8.339 8.293
angles (deg): 117.68 90.00 119.32
Atoms (fractional coordinates):
1 Br 0.262 0.523 0.372
2 Br 0.815 0.134 0.817
3 Br 0.319 0.134 0.817
4 Br 0.185 0.866 0.183
5 Br 0.738 0.477 0.628
6 Br 0.681 0.866 0.183
7 Au 0.946 0.892 0.791
8 Au 0.054 0.108 0.209
9 Rb 0.742 0.484 0.212
10 Rb 0.258 0.516 0.788
11 Pb 0.500 0.000 0.500

Values from the calculation:
V: 416.71 Å³/f.u.
raw total energy: -2.885 eV per atom
E_form (uncorrected): -0.86 eV per atom